## ZnNi2RhO6 (GGA+U)

Data for a geometry-optimized ZnNi2RhO6 structure.

E_tot, eV/atom: -4.787
Size of the total moment, μB per formula unit: 6.22

a b c (Å): 5.691 5.691 4.042
angles (deg): 90.00 90.00 90.00
Space group P4mm (No. 99)
One atom of each set of equivalent atoms:
Zn  0.000  0.000  0.000 x1
Ni  0.000  0.500  0.183 x2
Rh  0.500  0.500  0.998 x1
O  0.000  0.000  0.523 x1
O  0.258  0.258  0.096 x4
O  0.500  0.500  0.558 x1